# PBE CaTlSb4, optimized geometry
# Total energy ... -86.85 eV for the cell shown
# Size of the total moment ... 0.0 Bohr magnetons per cell
# DOS at the Fermi energy ... 16.347 states/eV/cell
data_CaTlSb4
_chemical_formula_sum 'Ca4 Tl4 Sb16'
_cell_length_a 9.0084
_cell_length_b 9.0084
_cell_length_c 9.0084
_cell_angle_alpha 90.00
_cell_angle_beta 90.00
_cell_angle_gamma 90.00
_space_group_name_H-M_alt 'F -4 3 m'
_space_group_IT_number 216
_space_group_name_Hall 'F -4 2 3'
loop_
_atom_site_label
_atom_site_type_symbol
_atom_site_fract_x
_atom_site_fract_y
_atom_site_fract_z
Ca1 Ca 0.0000 0.0000 0.0000
Tl1 Tl 0.2500 0.2500 0.2500
Sb1 Sb 0.1248 0.1248 0.6248